1.
{
  "formula": "La4TlSe",
  "functional": "SCAN",
  "state": "single point on PBEsol structure",
  "total_magnetization_mub_per_fu": 0.001,
  "final_energy_ev_per_atom": -44.28,
  "raw_formation_energy_ev_per_atom": -0.14,
  "lattice_angstrom": [[6.2818, 0.0000, 0.0000], [3.1409, 5.4402, 0.0000], [3.1409, 1.8134, 5.1290]],
  "species": ["La", "La", "La", "La", "Se", "Tl"],
  "frac_coords": [[0.3741, 0.3741, 0.3741], [0.3741, 0.3741, 0.8776], [0.8776, 0.3741, 0.3741], [0.3741, 0.8776, 0.3741], [0.7500, 0.7500, 0.7500], [0.0000, 0.0000, 0.0000]]
}

***

2.
{
  "formula": "LaTlSe2",
  "functional": "SCAN",
  "state": "single point on PBEsol structure",
  "total_magnetization_mub_per_fu": 0.000,
  "final_energy_ev_per_atom": -40.33,
  "raw_formation_energy_ev_per_atom": -1.43,
  "lattice_angstrom": [[-2.3820, 2.6761, -1.0774], [-2.6486, -1.4753, 2.1913], [2.2901, 4.3161, 5.6740]],
  "species": ["La", "Se", "Se", "Tl"],
  "frac_coords": [[0.5000, 0.5000, 0.5000], [0.0003, 0.0000, 0.7225], [0.9997, 0.0000, 0.2775], [0.5000, 0.5000, 0.0000]]
}

***

3.
{
  "formula": "LaTl2Se",
  "functional": "SCAN",
  "state": "single point on PBEsol structure",
  "total_magnetization_mub_per_fu": 0.000,
  "final_energy_ev_per_atom": -52.75,
  "raw_formation_energy_ev_per_atom": -0.77,
  "lattice_angstrom": [[4.7578, 0.0000, 0.0000], [0.0000, 4.7554, 0.0000], [-2.3789, -2.3777, 4.6119]],
  "species": ["La", "Se", "Tl", "Tl"],
  "frac_coords": [[0.5000, 0.5000, 0.0001], [0.7499, 0.2499, 0.4998], [0.0000, 0.0000, 0.0001], [0.2500, 0.7500, 0.5000]]
}

***

4.
{
  "formula": "La2TlSe",
  "functional": "SCAN",
  "state": "single point on PBEsol structure",
  "total_magnetization_mub_per_fu": 0.000,
  "final_energy_ev_per_atom": -46.04,
  "raw_formation_energy_ev_per_atom": -1.38,
  "e_above_lowest_polymorph_mev_per_atom": 0.0,
  "lattice_angstrom": [[4.2085, 0.0000, 0.0000], [2.1042, 3.6446, 0.0000], [2.1042, 1.2149, 7.9437]],
  "species": ["Tl", "Se", "La", "La"],
  "frac_coords": [[0.5000, 0.5000, 0.5000], [0.0000, 0.0000, 0.0000], [0.7410, 0.7410, 0.7771], [0.2590, 0.2590, 0.2229]]
}